Record 1
NaBi2W | Alexandria via LeMat-Bulk | PBE | relaxed; VASP energy = -4.875 eV per atom; polymorph energy (0 for the lowest one) = 0 meV/atom; V = 94.5 Å³/f.u.; ΔE_f = 14.62 kcal/mol of atoms
1.0
7.2296 0.0000 0.0000
0.0000 7.2296 0.0000
0.0000 0.0000 7.2296
Na Bi W
4 8 4
Direct
0.0000 0.0000 0.0000 Na
0.0000 0.5000 0.5000 Na
0.5000 0.0000 0.5000 Na
0.5000 0.5000 0.0000 Na
0.2500 0.2500 0.2500 Bi
0.2500 0.2500 0.7500 Bi
0.2500 0.7500 0.2500 Bi
0.2500 0.7500 0.7500 Bi
0.7500 0.2500 0.2500 Bi
0.7500 0.2500 0.7500 Bi
0.7500 0.7500 0.2500 Bi
0.7500 0.7500 0.7500 Bi
0.0000 0.0000 0.5000 W
0.0000 0.5000 0.0000 W
0.5000 0.0000 0.0000 W
0.5000 0.5000 0.5000 W

Record 2
CsPu4Pd3S12 | Alexandria via LeMat-Bulk | PBE | relaxed; VASP energy = -7.070 eV per atom; formation energy from raw total energies = -0.906 eV per atom; V = 471.5 Å³/f.u.
1.0
-4.9030 4.9030 4.9030
4.9030 -4.9030 4.9030
4.9030 4.9030 -4.9030
Cs Pu Pd S
1 4 3 12
Direct
0.0000 0.0000 0.0000 Cs
0.0000 0.0000 0.5000 Pu
0.0000 0.5000 0.0000 Pu
0.5000 0.0000 0.0000 Pu
0.5000 0.5000 0.5000 Pu
0.0000 0.5000 0.5000 Pd
0.5000 0.0000 0.5000 Pd
0.5000 0.5000 0.0000 Pd
0.1580 0.3237 0.8344 S
0.1656 0.4893 0.3237 S
0.1656 0.8420 0.6763 S
0.3237 0.1656 0.4893 S
0.3237 0.8344 0.1580 S
0.4893 0.3237 0.1656 S
0.5107 0.6763 0.8344 S
0.6763 0.1656 0.8420 S
0.6763 0.8344 0.5107 S
0.8344 0.1580 0.3237 S
0.8344 0.5107 0.6763 S
0.8420 0.6763 0.1656 S

Record 3
La7SmAl4 | Alexandria via LeMat-Bulk | PBE | relaxed; VASP energy = -4.614 eV per atom; V = 373.4 Å³/f.u.; ΔE_f = -2.28 kcal/mol of atoms
1.0
7.0640 -2.9027 0.0000
7.0640 2.9027 0.0000
-6.2520 0.0000 9.1054
La Sm Al
7 1 4
Direct
0.0000 0.0000 0.0000 La
0.1998 0.1998 0.6379 La
0.2958 0.2958 0.1192 La
0.4330 0.4330 0.6193 La
0.5670 0.5670 0.3807 La
0.7042 0.7042 0.8808 La
0.8002 0.8002 0.3621 La
0.5000 0.5000 0.0000 Sm
0.0516 0.0516 0.7615 Al
0.1757 0.1757 0.3292 Al
0.8243 0.8243 0.6708 Al
0.9484 0.9484 0.2385 Al

Record 4
MgZn2Ni | Alexandria via LeMat-Bulk | PBE | relaxed; VASP energy = -2.625 eV per atom; V = 57.1 Å³/f.u.; ΔE_f = -3.33 kcal/mol of atoms
1.0
3.7293 0.0000 0.0000
0.0000 3.8550 0.0000
0.0000 0.0000 7.9439
Mg Zn Ni
2 4 2
Direct
0.0000 0.0000 0.0000 Mg
0.5000 0.5000 0.5000 Mg
0.0000 0.0000 0.4961 Zn
0.0000 0.5000 0.2466 Zn
0.5000 0.0000 0.7466 Zn
0.5000 0.5000 0.9961 Zn
0.0000 0.5000 0.7509 Ni
0.5000 0.0000 0.2509 Ni

> Look up the VASP energy of the fourth one.

-2.625 eV per atom

> The lowest VASP energy belongs to which entry?

CsPu4Pd3S12

> Look up the VASP energy of the fourth one.

-2.625 eV per atom

> Among the records above, which one has the highest VASP energy?

MgZn2Ni